Record 1
Material: PmTm3Th2As6
Method: DFT, PBE
State: relaxed

volume: 25.404 A^3/atom
crystal system: monoclinic
spin magnetization: 0.0000 μB per atom
total DFT energy (no corrections): -6.55 eV per atom

abc: 18.0924 4.1686 8.2937
angles: 90.00 102.92 90.00
Last column: nearest neighbours and their distance in Å.
Space group C2/m (No. 12)
Unique sites:
Pm  0.0000  0.0000  0.0000 [2 per cell]  6 As 2.99
Tm  0.0000  0.0000  0.5000 [2 per cell]  6 As 2.89-2.90
Tm  0.1656  0.5000  0.8336 [4 per cell]  6 As 2.88-2.91
Th  0.1654  0.5000  0.3306 [4 per cell]  6 As 2.96-3.00
As  0.0024  0.5000  0.7432 [4 per cell]  3 Tm 2.88-2.89, 1 Th 2.96, 2 Pm 2.99
As  0.1644  0.0000  0.5894 [4 per cell]  3 Tm 2.90, 3 Th 2.99-3.00
As  0.1694  0.0000  0.0767 [4 per cell]  3 Tm 2.89-2.91, 2 Th 2.98, 1 Pm 2.99

=====

Record 2
Material: Pm2TmThAs4
Method: DFT, PBE
State: relaxed

volume: 26.242 A^3/atom
crystal system: monoclinic
spin magnetization: 0.0000 μB per atom
total DFT energy (no corrections): -6.50 eV per atom

abc: 7.2585 4.2076 7.2901
angles: 90.00 109.45 90.00
Last column: nearest neighbours and their distance in Å.
Space group P2/m (No. 10)
Unique sites:
Pm  0.0000  0.0000  0.0000 [1 per cell]  6 As 2.97-2.98
Pm  0.5000  0.5000  0.0000 [1 per cell]  6 As 3.01-3.02
Tm  0.0000  0.5000  0.5000 [1 per cell]  6 As 2.92-2.93
Th  0.5000  0.0000  0.5000 [1 per cell]  6 As 2.96-2.97
As  0.2431  0.0000  0.7420 [2 per cell]  2 Tm 2.93, 1 Th 2.96, 3 Pm 2.98-3.02
As  0.2464  0.5000  0.2540 [2 per cell]  1 Tm 2.92, 2 Th 2.97, 3 Pm 2.97-3.01

=====

Record 3
Material: PmTh2UAs4
Method: DFT, PBE
State: relaxed

volume: 26.389 A^3/atom
crystal system: tetragonal
spin magnetization: 0.3234 μB per atom
total DFT energy (no corrections): -7.44 eV per atom

abc: 5.9569 5.9569 11.8988
angles: 90.00 90.00 90.00
Last column: nearest neighbours and their distance in Å.
Space group I-4m2 (No. 119)
Unique sites:
Pm  0.0000  0.0000  0.0000 [2 per cell]  6 As 2.97-2.98
Th  0.0000  0.0000  0.5000 [2 per cell]  6 As 2.98
Th  0.0000  0.5000  0.2500 [2 per cell]  6 As 2.98-3.04
U  0.0000  0.5000  0.7500 [2 per cell]  6 As 2.91-2.98
As  0.0000  0.0000  0.2496 [4 per cell]  1 Pm 2.97, 3 Th 2.98, 2 U 2.98
As  0.0000  0.5000  0.5052 [4 per cell]  1 U 2.91, 2 Pm 2.98, 3 Th 2.98-3.04

=====

Record 4
Material: Pm3Th2UAs6
Method: DFT, PBE
State: relaxed

volume: 26.587 A^3/atom
crystal system: monoclinic
spin magnetization: 0.2219 μB per atom
total DFT energy (no corrections): -7.05 eV per atom

abc: 18.4177 4.2131 8.4569
angles: 90.00 103.51 90.00
Last column: nearest neighbours and their distance in Å.
Space group C2/m (No. 12)
Unique sites:
Pm  0.0000  0.0000  0.0000 [2 per cell]  6 As 3.00-3.03
Pm  0.1679  0.5000  0.3327 [4 per cell]  6 As 2.98-3.02
Th  0.1651  0.5000  0.8311 [4 per cell]  6 As 2.98-3.00
U  0.0000  0.0000  0.5000 [2 per cell]  6 As 2.93-2.94
As  0.0011  0.5000  0.2584 [4 per cell]  2 U 2.94, 1 Th 2.98, 3 Pm 2.99-3.03
As  0.1636  0.0000  0.5806 [4 per cell]  1 U 2.93, 2 Th 2.98, 3 Pm 2.99-3.02
As  0.1673  0.0000  0.0825 [4 per cell]  3 Pm 2.98-3.00, 3 Th 2.99-3.00

=====

Record 5
Material: Pm3Y2ThAs6
Method: DFT, PBE
State: relaxed

volume: 26.317 A^3/atom
crystal system: monoclinic
spin magnetization: 0.0000 μB per atom
total DFT energy (no corrections): -6.74 eV per atom

abc: 18.3275 4.2100 8.4135
angles: 90.00 103.35 90.00
Last column: nearest neighbours and their distance in Å.
Space group C2/m (No. 12)
Unique sites:
Pm  0.0000  0.0000  0.0000 [2 per cell]  6 As 2.98-2.99
Pm  0.1674  0.5000  0.3303 [4 per cell]  6 As 2.97-3.02
Y  0.1683  0.5000  0.8360 [4 per cell]  6 As 2.92-2.97
Th  0.0000  0.0000  0.5000 [2 per cell]  6 As 2.96-2.97
As  0.0018  0.5000  0.7504 [4 per cell]  1 Y 2.97, 2 Th 2.97, 3 Pm 2.98-3.02
As  0.1663  0.0000  0.5868 [4 per cell]  1 Th 2.96, 2 Y 2.97, 3 Pm 2.97-3.02
As  0.1679  0.0000  0.0790 [4 per cell]  3 Y 2.92-2.94, 3 Pm 2.99

=====

Record 6
Material: Pm2YTh3As6
Method: DFT, PBE
State: relaxed

volume: 26.720 A^3/atom
crystal system: monoclinic
spin magnetization: 0.0000 μB per atom
total DFT energy (no corrections): -6.99 eV per atom

abc: 18.4234 4.2359 8.4348
angles: 90.00 103.03 90.00
Last column: nearest neighbours and their distance in Å.
Space group C2/m (No. 12)
Unique sites:
Pm  0.1664  0.0000  0.3332 [4 per cell]  6 As 2.99-3.00
Y  0.0000  0.5000  0.0000 [2 per cell]  6 As 2.96
Th  0.0000  0.5000  0.5000 [2 per cell]  6 As 2.99-3.01
Th  0.1672  0.0000  0.8336 [4 per cell]  6 As 2.99-3.02
As  0.9995  0.0000  0.2454 [4 per cell]  2 Y 2.96, 3 Th 2.99-3.01, 1 Pm 3.00
As  0.1648  0.5000  0.0818 [4 per cell]  1 Y 2.96, 3 Th 2.99-3.02, 2 Pm 2.99
As  0.1664  0.5000  0.5836 [4 per cell]  3 Th 2.99, 3 Pm 2.99-3.00

=====

Look up the total DFT energy (no corrections) of the sixth one.
-6.99 eV per atom